Computed, not measured: a relaxed structure of ScTl2H2 at the GGA-PBE level of DFT.

```
ScTl2H2
1.0
6.147 0.000 0.000
0.000 6.147 0.000
0.000 0.000 4.699
Sc Tl H
2 4 4
Cartesian
0.000 0.000 0.000
3.074 3.074 0.000
1.159 1.915 2.349
1.915 4.989 2.349
4.233 1.159 2.349
4.989 4.233 2.349
1.538 1.536 0.000
1.536 4.609 0.000
4.612 1.538 0.000
4.609 4.612 0.000
```

Summary:
As for the energy relative to the lowest polymorph listed for this composition: 0.000 eV per atom. For the volume, the calculation gives 88.8 Å³/f.u. As for the symmetry: P4/mbm (127). For the final energy, the calculation gives -3.521 eV/atom.


Computed, not measured: a relaxed structure of CeMgBi2O at the GGA-PBE level of DFT.

```
CeMgBi2O
1.0
3.925 0.000 0.000
0.000 3.925 0.000
0.000 0.000 17.685
Ce Mg Bi O
2 2 4 2
Cartesian
0.981 0.981 1.243
2.944 2.944 16.443
0.981 0.981 11.417
2.944 2.944 6.268
0.981 0.981 7.731
0.981 0.981 14.315
2.944 2.944 3.371
2.944 2.944 9.954
0.981 2.944 0.000
2.944 0.981 0.000
```

Summary:
The value obtained for the formation energy (no corrections) is -1250.8 meV per atom. For the volume, the calculation gives 136.2 Å³/f.u. As for the symmetry: P4/nmm (129). For the final energy, the calculation gives -5.301 eV/atom.


Computed, not measured: a relaxed structure of LaTbHo4 at the GGA-PBE level of DFT.

```
LaTbHo4
1.0
0.000 4.676 4.676
4.676 0.000 4.676
4.676 4.676 0.000
La Tb Ho
1 1 4
Cartesian
0.000 0.000 0.000
2.338 2.338 2.338
5.838 3.515 3.515
3.515 5.838 3.515
3.515 3.515 5.838
5.838 5.838 5.838
```

Summary:
As for the energy relative to the lowest polymorph listed for this composition: 0.210 eV per atom. For the volume, the calculation gives 204.5 Å³/f.u. As for the symmetry: F-43m (216). For the final energy, the calculation gives -4.368 eV/atom.


Computed, not measured: a relaxed structure of Pm2Pr2Sm5 at the GGA-PBE level of DFT.

```
Pm2Pr2Sm5
1.0
-6.463 4.375 5.585
6.463 -4.375 5.585
6.463 4.375 -5.585
Pm Pr Sm
4 4 10
Cartesian
1.404 1.040 0.000
5.059 1.040 0.000
1.404 3.335 5.585
5.059 3.335 5.585
0.000 4.375 0.615
0.000 0.000 6.200
3.231 3.434 2.039
3.231 0.942 7.623
4.776 3.833 -2.208
8.149 -0.543 3.377
9.694 2.152 0.469
1.686 0.543 3.377
4.776 0.543 3.377
-1.066 2.731 3.331
7.529 2.731 3.331
-3.231 2.224 6.054
1.066 6.020 3.331
-1.066 1.644 8.916
```

Summary:
As for the energy relative to the lowest polymorph listed for this composition: 0.055 eV per atom. For the volume, the calculation gives 315.8 Å³/f.u. As for the symmetry: Ima2 (46). For the final energy, the calculation gives -4.551 eV/atom.


Computed, not measured: a relaxed structure of Pr5Ho3Cd2 at the GGA-PBE level of DFT.

```
Pr5Ho3Cd2
1.0
-4.210 10.880 3.523
4.210 -10.880 3.523
4.210 10.880 -3.523
Pr Ho Cd
10 6 4
Cartesian
4.210 -3.567 1.762
1.400 4.691 0.000
0.000 0.000 1.762
5.609 6.189 0.000
4.210 3.567 1.762
0.000 7.313 1.762
-1.400 4.691 3.523
0.000 0.000 5.285
2.810 6.189 3.523
0.000 14.448 1.762
6.892 2.584 0.000
4.210 0.000 1.762
2.682 8.297 0.000
1.528 2.584 3.523
0.000 10.880 1.762
-2.682 8.297 3.523
2.097 1.620 0.000
2.097 -1.620 3.523
2.113 12.500 0.000
2.113 9.260 3.523
```

Summary:
For the volume, the calculation gives 322.8 Å³/f.u. As for the symmetry: Ibam (72). For the final energy, the calculation gives -3.927 eV/atom.